The following is a DFT calculation (PBE-GGA) of crystalline Mo10Pt6C at its relaxed geometry.

## Properties
As for the volume: 15.5 Å³ per atom. For the formation energy, the calculation gives -0.147 eV per atom. The final energy comes out at -9.193 eV per atom.

```
Mo10Pt6C
1.0
7.886 0.000 0.000
-3.943 6.829 0.000
0.000 0.000 4.884
Mo Pt C
10 6 1
direct
0.000 0.217 0.266
0.000 0.783 0.734
0.217 0.000 0.266
0.217 0.217 0.734
0.333 0.667 0.000
0.333 0.667 0.500
0.667 0.333 0.000
0.667 0.333 0.500
0.783 0.000 0.734
0.783 0.783 0.266
0.000 0.407 0.752
0.000 0.593 0.248
0.407 0.000 0.752
0.407 0.407 0.248
0.593 0.000 0.248
0.593 0.593 0.752
0.000 0.000 0.000
```